[1]
This record from Alexandria via LeMat-Bulk describes Cr2HgIrOs after structural relaxation. The functional is PBE-GGA.

Properties
ρ   10.770 Mg/m³
Uncorrected energy   -33.30 eV for the cell shown
Total magnetic moment   5.86 Bohr magnetons per cell

```
data_Cr2HgIrOs
_symmetry_space_group_name_H-M 'P 4/m m m'
_symmetry_Int_Tables_number 123
_symmetry_space_group_name_Hall '-P 4 2'
_cell_length_a 4.713
_cell_length_b 4.713
_cell_length_c 4.769
_cell_angle_alpha 90.00
_cell_angle_beta 90.00
_cell_angle_gamma 90.00
loop_
_atom_site_label
_atom_site_fract_x
_atom_site_fract_y
_atom_site_fract_z
Cr1 0.000 0.500 0.000
Hg1 0.000 0.000 0.500
Ir1 0.500 0.500 0.500
Os1 0.500 0.500 0.000
```

***

[2]
This record from Alexandria via LeMat-Bulk describes KTiMnSe4 after structural relaxation. The functional is PBE-GGA.

Properties
ρ   4.051 Mg/m³
Uncorrected energy   -75.58 eV for the cell shown
Total magnetic moment   8.00 Bohr magnetons per cell

```
data_KTiMnSe4
_symmetry_space_group_name_H-M 'P 1 21/m 1'
_symmetry_Int_Tables_number 11
_symmetry_space_group_name_Hall '-P 2yb'
_cell_length_a 6.471
_cell_length_b 7.010
_cell_length_c 8.300
_cell_angle_alpha 90.00
_cell_angle_beta 94.81
_cell_angle_gamma 90.00
loop_
_atom_site_label
_atom_site_fract_x
_atom_site_fract_y
_atom_site_fract_z
K1 0.207 0.250 0.053
Ti1 0.164 0.750 0.448
Mn1 0.359 0.250 0.645
Se1 0.100 0.003 0.685
Se2 0.327 0.750 0.180
Se3 0.490 0.250 0.392
```

***

[3]
This record from Alexandria via LeMat-Bulk describes K2Te2Se3 after structural relaxation. The functional is PBE-GGA.

Properties
ρ   3.881 Mg/m³
Uncorrected energy   -45.77 eV for the cell shown
Total magnetic moment   0.00 Bohr magnetons per cell
Offset from the most stable computed form   4 meV/atom

```
data_K2Te2Se3
_symmetry_space_group_name_H-M 'C 1 2/m 1'
_symmetry_Int_Tables_number 12
_symmetry_space_group_name_Hall '-C 2y'
_cell_length_a 14.653
_cell_length_b 4.982
_cell_length_c 6.691
_cell_angle_alpha 90.00
_cell_angle_beta 92.15
_cell_angle_gamma 90.00
loop_
_atom_site_label
_atom_site_fract_x
_atom_site_fract_y
_atom_site_fract_z
K1 0.120 0.000 0.290
Te1 0.130 0.500 0.822
Se1 0.000 0.500 0.500
Se2 0.196 0.000 0.774
```

***

[4]
This record from Alexandria via LeMat-Bulk describes Ba2TlSbN after structural relaxation. The functional is PBE-GGA.

Properties
ρ   6.526 Mg/m³
Uncorrected energy   -20.92 eV for the cell shown
Total magnetic moment   0.00 Bohr magnetons per cell

```
data_Ba2TlSbN
_symmetry_space_group_name_H-M 'P 4/m m m'
_symmetry_Int_Tables_number 123
_symmetry_space_group_name_Hall '-P 4 2'
_cell_length_a 5.694
_cell_length_b 5.694
_cell_length_c 4.824
_cell_angle_alpha 90.00
_cell_angle_beta 90.00
_cell_angle_gamma 90.00
loop_
_atom_site_label
_atom_site_fract_x
_atom_site_fract_y
_atom_site_fract_z
Ba1 0.000 0.500 0.000
Tl1 0.000 0.000 0.500
Sb1 0.500 0.500 0.500
N1 0.000 0.000 0.000
```

***

[5]
This record from Alexandria via LeMat-Bulk describes ScTl after structural relaxation. The functional is PBE-GGA.

Properties
ρ   8.084 Mg/m³
Uncorrected energy   -141.82 eV for the cell shown
Total magnetic moment   0.00 Bohr magnetons per cell

```
data_ScTl
_symmetry_space_group_name_H-M 'F d d d'
_symmetry_Int_Tables_number 70
_cell_length_a 6.809
_cell_length_b 10.037
_cell_length_c 11.991
_cell_angle_alpha 90.00
_cell_angle_beta 90.00
_cell_angle_gamma 90.00
loop_
_symmetry_equiv_pos_as_xyz
'x,y,z'
'-x,-y,-z'
'-x+1/4,-y+1/4,z'
'x+1/4,y+1/4,-z'
'x,-y+1/4,-z+1/4'
'-x,y+1/4,z+1/4'
'-x+1/4,y,-z+1/4'
'x+1/4,-y,z+1/4'
'x,y+1/2,z+1/2'
'-x,-y+1/2,-z+1/2'
'-x+1/4,-y+3/4,z+1/2'
'x+1/4,y+3/4,-z+1/2'
'x,-y+3/4,-z+3/4'
'-x,y+3/4,z+3/4'
'-x+1/4,y+1/2,-z+3/4'
'x+1/4,-y+1/2,z+3/4'
'x+1/2,y,z+1/2'
'-x+1/2,-y,-z+1/2'
'-x+3/4,-y+1/4,z+1/2'
'x+3/4,y+1/4,-z+1/2'
'x+1/2,-y+1/4,-z+3/4'
'-x+1/2,y+1/4,z+3/4'
'-x+3/4,y,-z+3/4'
'x+3/4,-y,z+3/4'
'x+1/2,y+1/2,z'
'-x+1/2,-y+1/2,-z'
'-x+3/4,-y+3/4,z'
'x+3/4,y+3/4,-z'
'x+1/2,-y+3/4,-z+1/4'
'-x+1/2,y+3/4,z+1/4'
'-x+3/4,y+1/2,-z+1/4'
'x+3/4,-y+1/2,z+1/4'
loop_
_atom_site_label
_atom_site_fract_x
_atom_site_fract_y
_atom_site_fract_z
Sc1 0.125 0.372 0.125
Tl1 0.120 0.375 0.875
```

***

[6]
This record from Alexandria via LeMat-Bulk describes LaCSCl2 after structural relaxation. The functional is PBE-GGA.

Properties
ρ   2.407 Mg/m³
Uncorrected energy   -20.96 eV for the cell shown
Total magnetic moment   1.00 Bohr magnetons per cell
Offset from the most stable computed form   381 meV/atom

```
data_LaCSCl2
_symmetry_space_group_name_H-M 'P 4/m m m'
_symmetry_Int_Tables_number 123
_symmetry_space_group_name_Hall '-P 4 2'
_cell_length_a 5.494
_cell_length_b 5.494
_cell_length_c 5.802
_cell_angle_alpha 90.00
_cell_angle_beta 90.00
_cell_angle_gamma 90.00
loop_
_atom_site_label
_atom_site_fract_x
_atom_site_fract_y
_atom_site_fract_z
La1 0.000 0.000 0.000
C1 0.500 0.500 0.500
S1 0.000 0.000 0.500
Cl1 0.000 0.500 0.000
```

***

[7]
This record from Alexandria via LeMat-Bulk describes SrLa3Ir after structural relaxation. The functional is PBE-GGA.

Properties
ρ   5.216 Mg/m³
Uncorrected energy   -50.40 eV for the cell shown
Total magnetic moment   0.00 Bohr magnetons per cell
Offset from the most stable computed form   347 meV/atom

```
data_SrLa3Ir
_symmetry_space_group_name_H-M 'P 63/m m c'
_symmetry_Int_Tables_number 194
_symmetry_space_group_name_Hall '-P 6c 2c'
_cell_length_a 4.6811
_cell_length_b 4.6811
_cell_length_c 23.3712
_cell_angle_alpha 90.00
_cell_angle_beta 90.00
_cell_angle_gamma 120.00
loop_
_atom_site_label
_atom_site_fract_x
_atom_site_fract_y
_atom_site_fract_z
Sr1 0.0000 0.0000 0.0000
La1 0.0000 0.0000 0.2500
La2 0.3333 0.6667 0.1282
Ir1 0.3333 0.6667 0.2500
```

***

[8]
This record from Alexandria via LeMat-Bulk describes Dy6Ho2Er3Tm after structural relaxation. The functional is PBE-GGA.

Properties
ρ   8.898 Mg/m³
Uncorrected energy   -109.39 eV for the cell shown
Total magnetic moment   0.00 Bohr magnetons per cell

```
data_Dy6Ho2Er3Tm
_symmetry_space_group_name_H-M 'C 1 2/m 1'
_symmetry_Int_Tables_number 12
_symmetry_space_group_name_Hall '-C 2y'
_cell_length_a 6.095
_cell_length_b 10.545
_cell_length_c 11.649
_cell_angle_alpha 90.00
_cell_angle_beta 99.99
_cell_angle_gamma 90.00
loop_
_atom_site_label
_atom_site_fract_x
_atom_site_fract_y
_atom_site_fract_z
Dy1 0.250 0.000 0.250
Dy2 0.250 0.167 0.750
Ho1 0.000 0.167 0.000
Er1 0.000 0.000 0.500
Er2 0.000 0.333 0.500
Tm1 0.000 0.500 0.000
```

***

[9]
This record from Alexandria via LeMat-Bulk describes CuOs2Se after structural relaxation. The functional is PBE-GGA.

Properties
ρ   14.985 Mg/m³
Uncorrected energy   -55.08 eV for the cell shown
Total magnetic moment   0.00 Bohr magnetons per cell

```
data_CuOs2Se
_symmetry_space_group_name_H-M 'C 1 2/m 1'
_symmetry_Int_Tables_number 12
_symmetry_space_group_name_Hall '-C 2y'
_cell_length_a 8.361
_cell_length_b 2.892
_cell_length_c 4.878
_cell_angle_alpha 90.00
_cell_angle_beta 100.72
_cell_angle_gamma 90.00
loop_
_atom_site_label
_atom_site_fract_x
_atom_site_fract_y
_atom_site_fract_z
Cu1 0.000 0.000 0.000
Os1 0.249 0.000 0.760
Se1 0.000 0.500 0.500
```

***

[10]
This record from Alexandria via LeMat-Bulk describes KTlReCl6 after structural relaxation. The functional is PBE-GGA.

Properties
ρ   3.613 Mg/m³
Uncorrected energy   -72.59 eV for the cell shown
Total magnetic moment   6.00 Bohr magnetons per cell

```
data_KTlReCl6
_symmetry_space_group_name_H-M 'P -3 1 c'
_symmetry_Int_Tables_number 163
_symmetry_space_group_name_Hall '-P 3 2c'
_cell_length_a 7.5327
_cell_length_b 7.5327
_cell_length_c 12.0181
_cell_angle_alpha 90.00
_cell_angle_beta 90.00
_cell_angle_gamma 120.00
loop_
_atom_site_label
_atom_site_fract_x
_atom_site_fract_y
_atom_site_fract_z
K1 0.3333 0.6667 0.2500
Tl1 0.0000 0.0000 0.0000
Re1 0.3333 0.6667 0.7500
Cl1 0.0755 0.4097 0.6350
```

***

[11]
This record from Alexandria via LeMat-Bulk describes Y2SiAg after structural relaxation. The functional is PBE-GGA.

Properties
ρ   4.055 Mg/m³
Uncorrected energy   -80.80 eV for the cell shown
Total magnetic moment   0.00 Bohr magnetons per cell

```
data_Y2SiAg
_symmetry_space_group_name_H-M 'I -4 2 d'
_symmetry_Int_Tables_number 122
_symmetry_space_group_name_Hall 'I -4 2bw'
_cell_length_a 5.595
_cell_length_b 5.595
_cell_length_c 16.416
_cell_angle_alpha 90.00
_cell_angle_beta 90.00
_cell_angle_gamma 90.00
loop_
_atom_site_label
_atom_site_fract_x
_atom_site_fract_y
_atom_site_fract_z
Y1 0.232 0.250 0.125
Si1 0.000 0.000 0.000
Ag1 0.000 0.000 0.500
```